Computed, not measured: an optimized crystal structure of MgCuMo2O7 at the GGA+U level of DFT.

Cell: 8.8546 9.3908 11.1556 Å, 102.33 90.00 90.00°
Site moments in Bohr magnetons follow the coordinates.
Positions (direct):
Mg 0.4266 0.8449 0.4213  0.00
Mg 0.9267 0.5000 0.2500  0.00
Mg 0.4266 0.1551 0.0787  0.00
Mg 0.0733 0.5000 0.7500  0.00
Mg 0.5734 0.1551 0.5787  0.00
Mg 0.5734 0.8449 0.9213  0.00
Cu 0.9287 0.1864 0.5937  -0.28
Cu 0.0713 0.8136 0.4063  -0.28
Cu 0.4347 0.5000 0.7500  -0.05
Cu 0.9287 0.8136 0.9063  -0.28
Cu 0.5653 0.5000 0.2500  -0.05
Cu 0.0713 0.1864 0.0937  -0.28
Mo 0.2417 0.7977 0.7055  0.87
Mo 0.7584 0.8780 0.6262  0.99
Mo 0.2416 0.8780 0.1262  0.99
Mo 0.7583 0.7977 0.2055  0.87
Mo 0.2662 0.4683 0.0411  0.11
Mo 0.7584 0.1220 0.8738  0.99
Mo 0.7338 0.4683 0.5411  0.11
Mo 0.2416 0.1220 0.3738  0.99
Mo 0.2662 0.5317 0.4589  0.11
Mo 0.7338 0.5317 0.9589  0.11
Mo 0.7583 0.2023 0.2945  0.87
Mo 0.2417 0.2023 0.7945  0.87
O 0.7516 0.7778 0.0272  -0.02
O 0.7627 0.1091 0.6909  -0.01
O 0.8098 0.0000 0.2500  -0.03
O 0.9123 0.5434 0.8885  -0.01
O 0.4197 0.0787 0.4455  0.01
O 0.9246 0.7260 0.2779  -0.04
O 0.2988 0.6640 0.0854  -0.02
O 0.0877 0.5434 0.3885  -0.01
O 0.7369 0.5525 0.1340  0.00
O 0.4197 0.9213 0.0545  0.01
O 0.7369 0.4475 0.3660  0.00
O 0.4235 0.4022 0.1192  -0.01
O 0.9313 0.1372 0.9554  -0.07
O 0.0754 0.7260 0.7779  -0.04
O 0.7012 0.3360 0.9146  -0.02
O 0.2988 0.3360 0.4146  -0.02
O 0.9246 0.2740 0.2221  -0.04
O 0.5803 0.9213 0.5545  0.01
O 0.2484 0.7778 0.5272  -0.02
O 0.5765 0.5978 0.8808  -0.01
O 0.4173 0.1996 0.7166  -0.04
O 0.2631 0.4475 0.8660  0.00
O 0.0687 0.1372 0.4554  -0.07
O 0.2631 0.5525 0.6340  0.00
O 0.9123 0.4566 0.6115  -0.01
O 0.5765 0.4022 0.6192  -0.01
O 0.0877 0.4566 0.1115  -0.01
O 0.5827 0.1996 0.2166  -0.04
O 0.5827 0.8004 0.2834  -0.04
O 0.0687 0.8628 0.0446  -0.07
O 0.0754 0.2740 0.7221  -0.04
O 0.7516 0.2222 0.4728  -0.02
O 0.1902 0.0000 0.7500  -0.03
O 0.2373 0.1091 0.1909  -0.01
O 0.5803 0.0787 0.9455  0.01
O 0.9313 0.8628 0.5446  -0.07
O 0.2484 0.2222 0.9728  -0.02
O 0.7627 0.8909 0.8091  -0.01
O 0.4235 0.5978 0.3808  -0.01
O 0.7012 0.6640 0.5854  -0.02
O 0.2373 0.8909 0.3091  -0.01
O 0.4173 0.8004 0.7834  -0.04

Properties
**Volume**: 13.73 Å³ per atom
**E**: -6.584 eV/atom
**N(E_F)**: 0.14 states/eV/atom
**Total magnetic moment**: 5.96 μB/cell